Entry from Alexandria via LeMat-Bulk: an optimized crystal structure of TlTe2Au (PBE).

## Properties
Energy relative to the elements, uncorrected = 1.0 meV per atom
D(E_F) = 0.628 states/eV per atom
Crystal system = trigonal

abc: 7.516 7.516 7.516
angles: 33.49 33.49 33.49
Fractional positions:
Te: 0.248 0.248 0.248
Tl: 0.491 0.491 0.491
Au: 0.743 0.743 0.743
Te: 0.017 0.017 0.017



Entry from Alexandria via LeMat-Bulk: an optimized crystal structure of SrBe2Zn (PBE).

## Properties
D(E_F) = 0.483 states/eV per atom
Crystal system = monoclinic
ΔE_f = 0.0490 eV/atom

abc: 3.996 3.996 5.985
angles: 69.95 69.95 60.02
Fractional positions:
Sr: 0.750 0.750 0.750
Zn: 0.250 0.250 0.250
Be: 0.569 0.569 0.294
Be: 0.931 0.931 0.206



Entry from Alexandria via LeMat-Bulk: an optimized crystal structure of K3TbU2S6 (PBE).

## Properties
Energy relative to the elements, uncorrected = -1539.7 meV per atom
D(E_F) = 0.572 states/eV per atom
Crystal system = monoclinic

abc: 7.021 7.021 7.778
angles: 98.65 98.65 120.00
Fractional positions:
U: 0.333 0.667 0.000
U: 0.667 0.333 0.000
Tb: 0.000 0.000 0.000
S: 0.597 0.932 0.796
K: 0.500 0.500 0.500
S: 0.403 0.068 0.204
S: 0.267 0.267 0.796
S: 0.068 0.403 0.204
S: 0.932 0.597 0.796
K: 0.166 0.834 0.500
S: 0.733 0.733 0.204
K: 0.834 0.166 0.500



Entry from Alexandria via LeMat-Bulk: an optimized crystal structure of HfCdN2O (PBE).

## Properties
Energy relative to the elements, uncorrected = 806.1 meV per atom
D(E_F) = 0.449 states/eV per atom
Crystal system = tetragonal

abc: 4.066 4.066 3.951
angles: 90.00 90.00 90.00
Fractional positions:
Cd: 0.000 0.000 0.000
N: 0.000 0.500 0.000
O: 0.000 0.000 0.500
N: 0.500 0.000 0.000
Hf: 0.500 0.500 0.500



Entry from Alexandria via LeMat-Bulk: an optimized crystal structure of GaCuO3 (PBE).

## Properties
Energy relative to the elements, uncorrected = -331.8 meV per atom
D(E_F) = 2.084 states/eV per atom
Crystal system = cubic

abc: 3.778 3.778 3.778
angles: 90.00 90.00 90.00
Fractional positions:
O: 0.000 0.500 0.000
O: 0.500 0.000 0.000
O: 0.000 0.000 0.500
Cu: 0.500 0.500 0.500
Ga: 0.000 0.000 0.000



no.,V (Å³ per atom)
1,28.778
2,19.004
3,26.390
4,13.063
5,10.783